Entry 1:
First-principles (PBE) data for a relaxed structure of LaTb3DyEr, as listed in Alexandria.

CIF file:
```
data_LaTb3DyEr
_chemical_formula_sum 'La2 Tb6 Dy2 Er2'
_space_group_name_H-M_alt 'P 1'
_space_group_IT_number 1
_cell_length_a 5.673
_cell_length_b 10.325
_cell_length_c 7.039
_cell_angle_alpha 90.78
_cell_angle_beta 90.00
_cell_angle_gamma 105.95
loop_
_space_group_symop_operation_xyz
'x,y,z'
loop_
_atom_site_label
_atom_site_type_symbol
_atom_site_fract_x
_atom_site_fract_y
_atom_site_fract_z
La1 La 0.356 0.713 0.977
La2 La 0.644 0.287 0.023
Tb1 Tb 0.837 0.675 0.279
Tb2 Tb 0.780 0.559 0.757
Tb3 Tb 0.478 0.956 0.268
Tb4 Tb 0.220 0.441 0.243
Tb5 Tb 0.522 0.044 0.732
Tb6 Tb 0.163 0.325 0.721
Dy1 Dy 0.054 0.108 0.277
Dy2 Dy 0.946 0.892 0.723
Er1 Er 0.649 0.298 0.456
Er2 Er 0.351 0.702 0.544
```

Output
V ... 198.2 Å³/f.u.
Space-group type ... No. 12
DFT formation energy ... 1.25 eV/f.u.
Total magnetic moment ... 0.000 μB per atom
DOS(E_F) ... 9.48 states/eV/f.u.

---

Entry 2:
First-principles (PBE) data for a relaxed structure of CaPa5S6, as listed in Alexandria.

CIF file:
```
data_CaPa5S6
_chemical_formula_sum 'Ca1 Pa5 S6'
_space_group_name_H-M_alt 'P 1'
_space_group_IT_number 1
_cell_length_a 6.903
_cell_length_b 6.682
_cell_length_c 6.689
_cell_angle_alpha 60.04
_cell_angle_beta 80.73
_cell_angle_gamma 71.18
loop_
_space_group_symop_operation_xyz
'x,y,z'
loop_
_atom_site_label
_atom_site_type_symbol
_atom_site_fract_x
_atom_site_fract_y
_atom_site_fract_z
Ca1 Ca 0.000 0.000 0.000
Pa1 Pa 0.500 0.165 0.671
Pa2 Pa 0.000 0.333 0.335
Pa3 Pa 0.500 0.500 0.000
Pa4 Pa 0.000 0.667 0.665
Pa5 Pa 0.500 0.835 0.329
S1 S 0.751 0.083 0.333
S2 S 0.249 0.584 0.333
S3 S 0.247 0.251 0.000
S4 S 0.753 0.749 0.000
S5 S 0.751 0.416 0.667
S6 S 0.249 0.917 0.667
```

Output
V ... 253.0 Å³/f.u.
Space-group type ... No. 12
ΔE_f (raw) ... -19.60 eV/f.u.
Total magnetic moment ... 0.000 μB per atom
DOS(E_F) ... 17.01 states/eV/f.u.

---

Entry 3:
First-principles (PBE) data for a relaxed structure of ReMo2Ir, as listed in Alexandria.

CIF file:
```
data_ReMo2Ir
_chemical_formula_sum 'Re1 Mo2 Ir1'
_space_group_name_H-M_alt 'P 1'
_space_group_IT_number 1
_cell_length_a 2.739
_cell_length_b 2.739
_cell_length_c 8.195
_cell_angle_alpha 90.00
_cell_angle_beta 90.00
_cell_angle_gamma 90.00
loop_
_space_group_symop_operation_xyz
'x,y,z'
loop_
_atom_site_label
_atom_site_type_symbol
_atom_site_fract_x
_atom_site_fract_y
_atom_site_fract_z
Ir1 Ir 0.500 0.500 0.745
Mo1 Mo 0.000 0.000 0.990
Mo2 Mo 0.500 0.500 0.256
Re1 Re 0.000 0.000 0.510
```

Output
V ... 61.5 Å³/f.u.
Space-group type ... No. 99
DFT formation energy ... 0.14 eV/f.u.
Total magnetic moment ... 0.000 μB per atom
Polymorph energy (0 for the lowest one) ... 104 meV/atom
DOS(E_F) ... 4.25 states/eV/f.u.